{"formula": "KCrCo2Sn", "functional": "GGA-PBE", "state": "relaxed", "lattice": [[4.490, 0.000, 0.000], [0.000, 4.490, 0.000], [0.000, 0.000, 5.041]], "species": ["K", "Cr", "Co", "Co", "Sn"], "fractional_positions": [[0.000, 0.000, 0.000], [0.500, 0.500, 0.500], [0.000, 0.500, 0.500], [0.500, 0.000, 0.500], [0.500, 0.500, 0.000]], "formation_enthalpy_0k_kj_per_mol_atoms": 94, "vol_a3_per_fu": 101.6, "crystal_system": "tetragonal", "magmom_total_mub_per_cell": 1.44, "mass_density_g_cm3": 5.35}